VASP calculation (GGA-PBE) on a geometry-optimized PuHfNp2N4 structure.

Values from the calculation:
energy relative to the elements, uncorrected = -1.32 eV/atom
calculated density = 14.38 g/cm3

Unit cell a=3.356 b=5.868 c=5.903 alpha=108.84 beta=90.00 gamma=90.00
Sites, in units of the cell vectors:
N: 0.500 0.771 0.766
N: 0.000 0.234 0.756
N: 0.000 0.766 0.244
Np: 0.000 0.500 0.500
Hf: 0.000 0.000 0.000
Pu: 0.500 0.500 0.000
N: 0.500 0.229 0.234
Np: 0.500 0.000 0.500

VASP calculation (GGA-PBE) on a geometry-optimized Pu3Hf2NpN6 structure.

Values from the calculation:
energy relative to the elements, uncorrected = -1.43 eV/atom
calculated density = 14.29 g/cm3

Unit cell a=5.826 b=5.826 c=5.904 alpha=99.46 beta=99.46 gamma=120.02
Sites, in units of the cell vectors:
N: 0.416 0.075 0.226
N: 0.734 0.734 0.225
Hf: 0.333 0.667 0.000
N: 0.266 0.266 0.775
Np: 0.000 0.000 0.000
Pu: 0.167 0.833 0.500
Hf: 0.667 0.333 0.000
N: 0.584 0.925 0.774
Pu: 0.833 0.167 0.500
N: 0.075 0.416 0.226
Pu: 0.500 0.500 0.500
N: 0.925 0.584 0.774

VASP calculation (GGA-PBE) on a geometry-optimized PuHf2Np3N6 structure.

Values from the calculation:
energy relative to the elements, uncorrected = -1.38 eV/atom
calculated density = 14.34 g/cm3

Unit cell a=5.789 b=5.789 c=5.894 alpha=99.38 beta=99.38 gamma=120.02
Sites, in units of the cell vectors:
N: 0.426 0.079 0.235
N: 0.271 0.271 0.769
N: 0.079 0.426 0.235
N: 0.729 0.729 0.231
Np: 0.164 0.836 0.500
Hf: 0.333 0.667 0.000
Np: 0.500 0.500 0.500
Pu: 0.000 0.000 0.000
N: 0.921 0.574 0.765
Np: 0.836 0.164 0.500
N: 0.574 0.921 0.765
Hf: 0.667 0.333 0.000